## P
# KMn3Hg

A relaxed structure of KMn3Hg (PBE, the Alexandria database).

## Properties
SG = Pm-3m
calculated volume = 120.1 Å³ per cell

a = 4.934 Å, b = 4.934 Å, c = 4.934 Å
α = 90.00°, β = 90.00°, γ = 90.00°
Site moments in Bohr magnetons follow the coordinates.
Sites, in units of the cell vectors:
K  0.000  0.000  0.000  0.00
Mn  0.000  0.000  0.500  3.53
Hg  0.500  0.500  0.500  -0.01
Mn  0.000  0.500  0.000  3.83
Mn  0.500  0.000  0.000  4.07

***

## Q
# KMn3Hg

A relaxed structure of KMn3Hg (PBE, the Alexandria database).

## Properties
SG = Pm-3m
calculated volume = 144.8 Å³ per cell

a = 5.251 Å, b = 5.251 Å, c = 5.251 Å
α = 90.00°, β = 90.00°, γ = 90.00°
Site moments in Bohr magnetons follow the coordinates.
Sites, in units of the cell vectors:
Mn  0.000  0.000  0.500  4.28
Mn  0.000  0.500  0.000  4.20
Mn  0.500  0.000  0.000  4.02
K  0.500  0.500  0.500  0.00
Hg  0.000  0.000  0.000  0.00

***

The least stable of the structures above is P, whereas Q is the most stable.